No. 1
PmDyZn3: relaxed, PBE.

Results
electronic total energy: -2.873 eV per atom
space-group type: C2/m, No. 12
crystal system: monoclinic

Cell lengths 4.8696, 6.3977, 9.1056 Å; angles 124.56, 105.51, 90.00 degrees
With the nearest neighbours (Å) after each atom.
Fractional coordinates of all 10 atoms:
Dy 0.8205 0.2468 0.6410  7 Zn 2.94-3.22
Zn 0.0162 0.8170 0.0323  4 Zn 2.72-2.80
Zn 0.2001 0.2444 0.4002  1 Zn 2.74, 3 Pm 2.91-2.94, 1 Dy 2.94
Zn 0.4240 0.2575 0.8481  3 Zn 2.65-2.80
Zn 0.7999 0.7556 0.5998  1 Zn 2.74, 3 Pm 2.91-2.94, 1 Dy 2.94
Zn 0.5760 0.7425 0.1519  3 Zn 2.65-2.80
Pm 0.6119 0.2704 0.2238  7 Zn 2.91-3.25
Dy 0.1795 0.7532 0.3590  7 Zn 2.94-3.22
Zn 0.9838 0.1830 0.9677  4 Zn 2.72-2.80
Pm 0.3881 0.7296 0.7762  7 Zn 2.91-3.25

No. 2
Cr2AgMo: relaxed, PBE.

Results
electronic total energy: -7.733 eV per atom
space-group type: P2/m, No. 10
crystal system: monoclinic

Cell lengths 4.2659, 2.6664, 5.3614 Å; angles 79.80, 90.00, 90.00 degrees
With the nearest neighbours (Å) after each atom.
Fractional coordinates of all 4 atoms:
Mo 0.5000 0.2500 0.2500  4 Cr 2.54, 2 Mo 2.67, 2 Ag 2.77
Cr 0.0000 0.5345 0.4424  1 Cr 2.18
Ag 0.5000 0.7500 0.7500  2 Ag 2.67, 2 Mo 2.77, 4 Cr 2.82
Cr 0.0000 0.9655 0.0576  1 Cr 2.18

No. 3
Rb2CeTmTe4: relaxed, PBE.

Results
electronic total energy: -4.455 eV per atom
space-group type: P2/m, No. 10
crystal system: monoclinic

Cell lengths 4.5883, 7.9599, 8.9424 Å; angles 107.20, 90.00, 90.00 degrees
With the nearest neighbours (Å) after each atom.
Fractional coordinates of all 8 atoms:
Rb 0.0000 0.5000 0.5000  6 Te 3.73
Ce 0.5000 0.5000 0.0000  6 Te 3.20-3.21
Tm 0.0000 0.0000 0.0000  6 Te 3.10-3.11
Te 0.5000 0.2225 0.1981  2 Tm 3.11, 1 Ce 3.21
Te 0.0000 0.2553 0.7976  1 Tm 3.10, 2 Ce 3.20
Rb 0.5000 0.0000 0.5000  6 Te 3.64
Te 0.0000 0.7447 0.2024  1 Tm 3.10, 2 Ce 3.20
Te 0.5000 0.7775 0.8019  2 Tm 3.11, 1 Ce 3.21

No. 4
LiNi2RuC: relaxed, PBE.

Results
electronic total energy: -6.351 eV per atom
space-group type: P4/mmm, No. 123
crystal system: tetragonal

Cell lengths 3.7634, 3.7634, 3.9869 Å; angles 90.00, 90.00, 90.00 degrees
With the nearest neighbours (Å) after each atom.
Fractional coordinates of all 5 atoms:
C 0.0000 0.0000 0.0000  4 Ni 1.88, 2 Ru 1.99
Ru 0.0000 0.0000 0.5000  2 C 1.99
Ni 0.5000 0.0000 0.0000  2 C 1.88
Ni 0.0000 0.5000 0.0000  2 C 1.88
Li 0.5000 0.5000 0.5000  4 Ru 2.66, 8 Ni 2.74